MgInAg2 | PBE | optimized geometry

The structure in POSCAR format:
```
MgInAg2
1.0
5.0717 0.0530 -0.0396
4.1047 2.9794 -0.0396
0.8157 0.2695 5.2952
Ag Mg In
2 1 1
Cartesian
0.8461 0.2796 5.2381 Ag
4.9656 1.6410 2.6650 Ag
7.4941 2.4765 3.9119 Mg
2.4980 0.8255 1.3040 In
```

SG: C2/m
Polymorph energy (0 for the lowest one), meV per atom: 69
Total energy, eV/atom: -2.59

***

Mg3In2Ag2 | PBE | optimized geometry

The structure in POSCAR format:
```
Mg3In2Ag2
1.0
3.3415 0.0000 0.4435
0.0000 3.2601 0.0000
-0.1145 0.0000 13.6737
Ag In Mg
2 2 3
Cartesian
1.7737 1.6301 12.2575 Ag
1.4534 1.6301 1.8596 Ag
0.9518 1.6301 5.6395 In
2.2753 1.6301 8.4776 In
0.0000 0.0000 0.0000 Mg
2.9012 0.0000 3.7616 Mg
0.3259 0.0000 10.3555 Mg
```

SG: Cmmm
Polymorph energy (0 for the lowest one), meV per atom: 0
Total energy, eV/atom: -2.43

***

Mg2In2Ag7 | PBE | optimized geometry

The structure in POSCAR format:
```
Mg2In2Ag7
1.0
-0.0138 2.6482 -4.4161
-4.0490 -5.4909 -0.7855
-4.6410 2.8227 4.2018
Ag Mg In
7 2 2
Cartesian
-5.6815 -2.1521 -1.9434 Ag
-5.9855 2.1167 0.6174 Ag
-2.7182 -2.1367 -1.6173 Ag
-3.5579 0.6964 -1.5833 Ag
-5.1459 -0.7164 0.5834 Ag
-0.0069 1.3241 -2.2081 Ag
-3.0222 2.1321 0.9435 Ag
-2.2422 -0.5528 0.6553 Mg
-6.4616 0.5328 -1.6552 Mg
-4.1840 -3.5946 0.3521 In
-4.5059 0.9264 3.0642 In
```

SG: C2/m
Polymorph energy (0 for the lowest one), meV per atom: 12
Total energy, eV/atom: -2.65

***

Mg3In2Ag2 | PBE | optimized geometry

The structure in POSCAR format:
```
Mg3In2Ag2
1.0
4.5221 0.0000 0.0000
0.0000 3.1591 0.0000
-2.2611 -1.5795 10.5647
Mg In Ag
3 2 2
Cartesian
0.0000 1.5795 6.1962 Mg
0.0000 0.0000 0.0000 Mg
2.2611 0.0000 4.3685 Mg
2.2611 1.5795 1.5567 In
0.0000 0.0000 9.0080 In
0.0000 1.5795 3.3571 Ag
2.2611 0.0000 7.2077 Ag
```

SG: Immm
Polymorph energy (0 for the lowest one), meV per atom: 64
Total energy, eV/atom: -2.37

***

Mg5In4Ag | PBE | optimized geometry

The structure in POSCAR format:
```
Mg5In4Ag
1.0
-0.2367 1.1581 -3.4251
-1.5224 -3.1453 -0.9582
-15.5430 6.5240 3.2800
In Mg Ag
4 5 1
Cartesian
-12.6159 5.2954 2.6623 In
-6.1734 2.5912 1.3028 In
-2.9272 1.2286 0.6177 In
-9.3696 3.9328 1.9773 In
-11.8981 3.6313 0.1335 Mg
-2.2208 -0.4306 -1.9086 Mg
-5.4041 0.9055 -1.2369 Mg
-15.0813 4.9674 0.8053 Mg
-8.6511 2.2684 -0.5517 Mg
0.0000 0.0000 0.0000 Ag
```

SG: P4/mmm
Total energy, eV/atom: -2.27

***

Mg2InAg4 | PBE | optimized geometry

The structure in POSCAR format:
```
Mg2InAg4
1.0
10.0040 0.0000 0.0000
0.0000 5.1369 -2.3833
0.0000 -0.4704 5.7522
Ag In Mg
8 2 4
Cartesian
7.8309 3.0714 -1.3762 Ag
7.5423 2.6736 1.5728 Ag
2.1731 1.5950 4.7451 Ag
7.1751 0.5030 -0.1846 Ag
2.4617 1.9929 1.7961 Ag
2.8289 4.1634 3.5534 Ag
7.4637 0.1051 2.7644 Ag
2.5403 4.5613 0.6045 Ag
0.0000 0.0000 0.0000 In
5.0020 2.5684 -1.1917 In
5.0252 3.9476 1.8069 Mg
0.0232 3.2872 0.3703 Mg
4.9788 0.7188 1.5620 Mg
9.9808 1.3792 2.9986 Mg
```

SG: P2_1/c
Polymorph energy (0 for the lowest one), meV per atom: 49
Total energy, eV/atom: -2.52

***

Number 1: magnetic moment 0.00 μB/f.u.. Number 2: magnetic moment 0.00 μB/f.u.. Number 3: magnetic moment 0.00 μB/f.u.. Number 4: magnetic moment 0.00 μB/f.u.. Number 5: magnetic moment 0.00 μB/f.u.. Number 6: magnetic moment 0.00 μB/f.u..